<P>
A plane-wave DFT calculation with PBE-GGA was carried out for crystalline BeCoOs at its relaxed geometry.

Structure (POSCAR):
```
BeCoOs
1.0
3.779 0.000 0.000
1.889 3.272 0.000
1.889 1.091 3.085
Co Os Be
1 1 1
direct
0.750 0.750 0.750
0.000 0.000 0.000
0.500 0.500 0.500
```

Results
Total moment = 0.003 μB per formula unit
Space group = F-43m

=====

<Q>
A plane-wave DFT calculation with PBE-GGA was carried out for crystalline BeCoOs at its relaxed geometry.

Structure (POSCAR):
```
BeCoOs
1.0
-1.896 -1.780 -0.355
1.378 0.877 -2.055
3.887 -4.295 0.774
Co Be Os
1 1 1
direct
0.667 0.333 0.319
0.000 0.000 0.011
0.333 0.667 0.670
```

Results
Total moment = 1.138 μB per formula unit
Space group = P3m1

=====

<R>
A plane-wave DFT calculation with PBE-GGA was carried out for crystalline BeCoOs at its relaxed geometry.

Structure (POSCAR):
```
BeCoOs
1.0
3.540 0.000 0.000
0.000 6.514 0.000
0.000 0.000 5.494
Be Os Co
4 4 4
direct
0.750 0.624 0.258
0.750 0.876 0.758
0.250 0.124 0.242
0.250 0.376 0.742
0.250 0.681 0.972
0.750 0.319 0.028
0.750 0.181 0.528
0.250 0.819 0.472
0.750 0.943 0.147
0.250 0.443 0.353
0.750 0.557 0.647
0.250 0.057 0.853
```

Results
Total moment = 0.000 μB per formula unit
Space group = Pnma

=====

<S>
A plane-wave DFT calculation with PBE-GGA was carried out for crystalline BeCoOs at its relaxed geometry.

Structure (POSCAR):
```
BeCoOs
1.0
-2.792 -3.949 0.003
-1.854 -2.760 -3.512
3.886 2.250 1.797
Co Os Be
1 1 1
direct
0.349 0.349 0.000
0.661 0.661 0.000
0.990 0.990 0.000
```

Results
Total moment = 1.146 μB per formula unit
Space group = I4mm

=====

Which one sits at the top of the stability order? <S> does.

=====

<P>
A plane-wave DFT calculation with PBE-GGA was carried out for crystalline BeCoOs at its relaxed geometry.

Structure (POSCAR):
```
BeCoOs
1.0
6.205 0.006 -0.004
5.461 2.459 0.014
0.745 -0.867 2.295
Be Os Co
1 1 1
direct
0.995 0.995 0.005
0.660 0.660 0.340
0.345 0.345 0.655
```

Results
Total moment = 1.362 μB per formula unit
Space group = Fmm2

=====

<Q>
A plane-wave DFT calculation with PBE-GGA was carried out for crystalline BeCoOs at its relaxed geometry.

Structure (POSCAR):
```
BeCoOs
1.0
-0.279 1.640 3.491
1.694 -3.455 -0.383
2.254 1.145 -0.358
Be Os Co
1 1 1
direct
0.000 0.000 0.167
0.333 0.667 0.666
0.667 0.333 0.167
```

Results
Total moment = 0.000 μB per formula unit
Space group = P-6m2

=====

Which one sits at the top of the stability order? <Q> does.

=====

<P>
A plane-wave DFT calculation with PBE-GGA was carried out for crystalline BeCo3Os at its relaxed geometry.

Structure (POSCAR):
```
BeCo3Os
1.0
3.837 0.000 0.000
0.000 3.837 0.000
0.000 0.000 3.837
Co Os Be
3 1 1
direct
0.500 0.000 0.000
0.000 0.000 0.500
0.000 0.500 0.000
0.500 0.500 0.500
0.000 0.000 0.000
```

Results
Total moment = 4.937 μB per formula unit
Space group = Pm-3m

=====

<Q>
A plane-wave DFT calculation with PBE-GGA was carried out for crystalline BeCo3Os at its relaxed geometry.

Structure (POSCAR):
```
BeCo3Os
1.0
4.410 0.000 0.000
0.000 4.410 0.000
0.000 0.000 4.410
Be Co Os
1 3 1
direct
0.500 0.500 0.500
0.000 0.500 0.000
0.000 0.000 0.500
0.500 0.000 0.000
0.000 0.000 0.000
```

Results
Total moment = 1.461 μB per formula unit
Space group = Pm-3m

=====

Which one sits at the top of the stability order? <P> does.

=====

<P>
A plane-wave DFT calculation with PBE-GGA was carried out for crystalline Be2Co2P at its relaxed geometry.

Structure (POSCAR):
```
Be2Co2P
1.0
-5.363 -0.168 -1.258
0.315 -5.468 -0.614
-0.687 -0.374 2.978
Co Be P
4 4 2
direct
0.831 0.331 0.500
0.669 0.831 0.500
0.331 0.169 0.500
0.169 0.669 0.500
0.628 0.128 0.000
0.872 0.628 0.000
0.372 0.872 0.000
0.128 0.372 0.000
0.500 0.500 0.000
0.000 0.000 0.000
```

Results
Total moment = 0.264 μB per formula unit
Space group = P4/mbm

=====

<Q>
A plane-wave DFT calculation with PBE-GGA was carried out for crystalline Be2Co2P at its relaxed geometry.

Structure (POSCAR):
```
Be2Co2P
1.0
-1.850 -4.922 -1.841
4.856 -2.347 1.394
-1.197 -0.681 3.024
Be Co P
4 4 2
direct
0.858 0.358 0.500
0.642 0.858 0.500
0.358 0.142 0.500
0.142 0.642 0.500
0.157 0.343 0.000
0.843 0.657 0.000
0.343 0.843 0.000
0.657 0.157 0.000
0.000 0.000 0.000
0.500 0.500 0.000
```

Results
Total moment = 0.000 μB per formula unit
Space group = P4/mbm

=====

Which one sits at the top of the stability order? <Q> does.

=====

<P>
A plane-wave DFT calculation with PBE-GGA was carried out for crystalline BeCo2P at its relaxed geometry.

Structure (POSCAR):
```
BeCo2P
1.0
-3.602 0.033 1.092
-1.541 3.175 1.308
-2.572 1.828 -2.052
Co P Be
2 1 1
direct
0.750 0.750 0.750
0.250 0.250 0.250
0.500 0.500 0.500
0.000 0.000 0.000
```

Results
Total moment = 1.140 μB per formula unit
Space group = Fm-3m

=====

<Q>
A plane-wave DFT calculation with PBE-GGA was carried out for crystalline BeCo2P at its relaxed geometry.

Structure (POSCAR):
```
BeCo2P
1.0
4.583 -2.039 2.785
-2.074 4.568 -2.785
0.778 -3.281 4.642
Co Be P
2 1 1
direct
0.294 0.000 0.294
0.706 0.000 0.706
0.000 0.000 0.000
0.500 0.000 0.500
```

Results
Total moment = 2.631 μB per formula unit
Space group = Immm

=====

Which one sits at the top of the stability order? <P> does.

=====

<P>
A plane-wave DFT calculation with PBE-GGA was carried out for crystalline BeCo2P at its relaxed geometry.

Structure (POSCAR):
```
BeCo2P
1.0
-3.403 -2.474 1.047
0.766 -3.189 2.837
0.817 4.253 -0.209
Co P Be
2 1 1
direct
0.000 0.000 0.000
0.750 0.250 0.500
0.500 0.500 0.000
0.250 0.750 0.500
```

Results
Total moment = 0.529 μB per formula unit
Space group = I-4m2

=====

<Q>
A plane-wave DFT calculation with PBE-GGA was carried out for crystalline BeCo2P at its relaxed geometry.

Structure (POSCAR):
```
BeCo2P
1.0
3.822 -0.002 0.002
2.935 2.447 0.002
0.737 0.267 4.267
P Be Co
1 1 2
direct
0.750 0.750 0.750
0.250 0.250 0.250
0.005 0.005 0.997
0.495 0.495 0.503
```

Results
Total moment = 0.713 μB per formula unit
Space group = C2/m

=====

Which one sits at the top of the stability order? <P> does.

=====

<P>
A plane-wave DFT calculation with PBE-GGA was carried out for crystalline BeCo2P at its relaxed geometry.

Structure (POSCAR):
```
BeCo2P
1.0
3.858 0.000 0.000
1.929 3.342 0.000
1.929 1.114 3.150
Be P Co
1 1 2
direct
0.500 0.500 0.500
0.750 0.750 0.750
0.000 0.000 0.000
0.250 0.250 0.250
```

Results
Total moment = 1.955 μB per formula unit
Space group = F-43m

=====

<Q>
A plane-wave DFT calculation with PBE-GGA was carried out for crystalline BeCo2P at its relaxed geometry.

Structure (POSCAR):
```
BeCo2P
1.0
2.649 0.000 0.000
0.000 2.865 0.000
0.000 0.000 5.110
Co P Be
2 1 1
direct
0.000 0.000 0.497
0.000 0.000 0.003
0.500 0.500 0.250
0.500 0.500 0.750
```

Results
Total moment = 0.002 μB per formula unit
Space group = Pmmm

=====

<R>
A plane-wave DFT calculation with PBE-GGA was carried out for crystalline BeCo2P at its relaxed geometry.

Structure (POSCAR):
```
BeCo2P
1.0
2.619 0.000 0.000
0.000 3.287 0.000
0.000 0.000 4.618
P Be Co
1 1 2
direct
0.000 0.000 0.481
0.500 0.500 0.780
0.000 0.000 0.956
0.500 0.500 0.284
```

Results
Total moment = 0.000 μB per formula unit
Space group = Pmm2

=====

<S>
A plane-wave DFT calculation with PBE-GGA was carried out for crystalline BeCo2P at its relaxed geometry.

Structure (POSCAR):
```
BeCo2P
1.0
-2.514 -2.712 2.003
-0.111 -3.759 1.883
0.530 0.793 3.703
Co Be P
2 1 1
direct
0.990 0.990 0.073
0.761 0.761 0.682
0.249 0.249 0.190
0.501 0.501 0.555
```

Results
Total moment = 0.001 μB per formula unit
Space group = Cm

=====

Which one sits at the top of the stability order? <S> does.

=====

<P>
A plane-wave DFT calculation with PBE-GGA was carried out for crystalline BeCo2P at its relaxed geometry.

Structure (POSCAR):
```
BeCo2P
1.0
7.050 0.004 0.002
6.564 2.574 0.002
6.564 1.243 2.254
Co P Be
2 1 1
direct
0.502 0.502 0.502
0.998 0.998 0.998
0.250 0.250 0.250
0.750 0.750 0.750
```

Results
Total moment = 0.000 μB per formula unit
Space group = R-3m

=====

<Q>
A plane-wave DFT calculation with PBE-GGA was carried out for crystalline BeCo2P at its relaxed geometry.

Structure (POSCAR):
```
BeCo2P
1.0
6.033 0.000 0.000
0.000 6.033 0.000
3.016 3.016 2.469
P Co Be
2 4 2
direct
0.000 0.000 0.000
0.750 0.250 0.500
0.659 0.125 0.250
0.375 0.341 0.750
0.875 0.909 0.750
0.091 0.625 0.250
0.250 0.750 0.500
0.500 0.500 0.000
```

Results
Total moment = 0.000 μB per formula unit
Space group = I-42d

=====

Which one sits at the top of the stability order? <P> does.

=====

<P>
A plane-wave DFT calculation with PBE-GGA was carried out for crystalline YBeCoP2 at its relaxed geometry.

Structure (POSCAR):
```
YBeCoP2
1.0
5.174 0.000 0.000
0.000 4.935 0.000
0.000 0.000 5.174
Co P Y Be
1 2 1 1
direct
0.000 0.500 0.000
0.000 0.000 0.500
0.500 0.000 0.000
0.000 0.000 0.000
0.500 0.500 0.500
```

Results
Total moment = 2.105 μB per formula unit
Space group = P4/mmm

=====

<Q>
A plane-wave DFT calculation with PBE-GGA was carried out for crystalline YBeCoP2 at its relaxed geometry.

Structure (POSCAR):
```
YBeCoP2
1.0
-3.777 1.024 -2.189
-2.039 -0.313 3.371
0.700 4.351 0.828
P Co Y Be
2 1 1 1
direct
0.500 0.000 0.000
0.000 0.000 0.500
0.000 0.000 0.000
0.500 0.500 0.500
0.000 0.500 0.000
```

Results
Total moment = 0.000 μB per formula unit
Space group = P4/mmm

=====

Which one sits at the top of the stability order? <Q> does.

=====

<P>
A plane-wave DFT calculation with PBE-GGA was carried out for crystalline BeCo3Pb at its relaxed geometry.

Structure (POSCAR):
```
BeCo3Pb
1.0
-1.423 3.450 1.435
-3.620 -1.654 0.384
0.925 -1.163 3.712
Co Be Pb
3 1 1
direct
0.000 0.000 0.500
0.000 0.500 0.000
0.500 0.000 0.000
0.000 0.000 0.000
0.500 0.500 0.500
```

Results
Total moment = 1.094 μB per formula unit
Space group = Pm-3m

=====

<Q>
A plane-wave DFT calculation with PBE-GGA was carried out for crystalline BeCo3Pb at its relaxed geometry.

Structure (POSCAR):
```
BeCo3Pb
1.0
4.751 0.000 0.000
0.000 4.751 0.000
0.000 0.000 4.751
Pb Co Be
1 3 1
direct
0.000 0.000 0.000
0.000 0.500 0.000
0.500 0.000 0.000
0.000 0.000 0.500
0.500 0.500 0.500
```

Results
Total moment = 4.298 μB per formula unit
Space group = Pm-3m

=====

Which one sits at the top of the stability order? <P> does.

=====

<P>
A plane-wave DFT calculation with PBE-GGA was carried out for crystalline BeCoPb at its relaxed geometry.

Structure (POSCAR):
```
BeCoPb
1.0
4.130 0.000 0.000
2.065 3.576 0.000
2.065 1.192 3.372
Be Pb Co
1 1 1
direct
0.500 0.500 0.500
0.000 0.000 0.000
0.750 0.750 0.750
```

Results
Total moment = 0.003 μB per formula unit
Space group = F-43m

=====

<Q>
A plane-wave DFT calculation with PBE-GGA was carried out for crystalline BeCoPb at its relaxed geometry.

Structure (POSCAR):
```
BeCoPb
1.0
-2.241 -3.811 -2.600
-2.788 -4.283 0.443
-3.003 0.769 -0.421
Be Pb Co
1 1 1
direct
0.949 0.949 0.051
0.672 0.672 0.328
0.379 0.379 0.621
```

Results
Total moment = 0.418 μB per formula unit
Space group = I4mm

=====

<R>
A plane-wave DFT calculation with PBE-GGA was carried out for crystalline BeCoPb at its relaxed geometry.

Structure (POSCAR):
```
BeCoPb
1.0
3.818 0.000 0.000
-1.909 3.306 0.000
0.000 0.000 3.611
Co Be Pb
1 1 1
direct
0.333 0.667 0.167
0.000 0.000 0.167
0.667 0.333 0.667
```

Results
Total moment = 0.254 μB per formula unit
Space group = P-6m2

=====

Which one sits at the top of the stability order? <Q> does.

=====

<P>
A plane-wave DFT calculation with PBE-GGA was carried out for crystalline Be3CoPb at its relaxed geometry.

Structure (POSCAR):
```
Be3CoPb
1.0
-2.854 2.938 -0.696
-2.214 -2.688 -2.266
-2.053 -1.185 3.412
Be Co Pb
3 1 1
direct
0.000 0.000 0.500
0.500 0.000 0.000
0.000 0.500 0.000
0.000 0.000 0.000
0.500 0.500 0.500
```

Results
Total moment = 0.000 μB per formula unit
Space group = Pm-3m

=====

<Q>
A plane-wave DFT calculation with PBE-GGA was carried out for crystalline Be3CoPb at its relaxed geometry.

Structure (POSCAR):
```
Be3CoPb
1.0
4.573 0.000 0.000
0.000 4.573 0.000
0.000 0.000 4.573
Co Pb Be
1 1 3
direct
0.500 0.500 0.500
0.000 0.000 0.000
0.000 0.000 0.500
0.500 0.000 0.000
0.000 0.500 0.000
```

Results
Total moment = 1.464 μB per formula unit
Space group = Pm-3m

=====

Which one sits at the top of the stability order? <P> does.